No. 1
Material: Tl2SnTe2
Method: DFT, GGA-PBE
State: optimized geometry

```
Tl2SnTe2
1.0
-1.408 -5.375 6.600
-1.236 -6.490 -5.549
4.496 -0.988 0.154
Tl Te Sn
4 4 2
Direct
0.363 0.137 0.500
0.863 0.363 0.500
0.137 0.637 0.500
0.637 0.863 0.500
0.326 0.826 0.000
0.826 0.674 0.000
0.174 0.326 0.000
0.674 0.174 0.000
0.000 0.000 0.000
0.500 0.500 0.000
```

Values from the calculation:
Formation energy without anion corrections, meV/atom: -129
Relative energy among the computed polymorphs, meV/atom: 130
DOS at the Fermi energy, states/eV/f.u.: 4.1

No. 2
Material: Tl2SnTe2
Method: DFT, GGA-PBE
State: optimized geometry

```
Tl2SnTe2
1.0
-0.146 -1.502 4.142
-3.061 -2.946 -1.176
4.541 -7.877 -0.351
Tl Te Sn
2 2 1
Direct
0.750 0.250 0.500
0.250 0.750 0.500
0.594 0.594 0.813
0.406 0.406 0.187
0.000 0.000 0.000
```

Values from the calculation:
Formation energy without anion corrections, meV/atom: -19
Relative energy among the computed polymorphs, meV/atom: 240
DOS at the Fermi energy, states/eV/f.u.: 1.8